(1)
Density functional theory data (PBE) for Zn4Pb after structural relaxation.

Unit cell a=5.4193 b=5.4193 c=5.4193 alpha=90.00 beta=90.00 gamma=90.00
Atoms (fractional coordinates):
Zn (0.0000, 0.0000, 0.0000)
Zn (0.0000, 0.5000, 0.5000)
Zn (0.5000, 0.0000, 0.5000)
Zn (0.5000, 0.5000, 0.0000)
Pb (0.5000, 0.5000, 0.5000)

Properties
The formation energy from the elements comes out at 0.6707 eV/atom. The total moment is 0.0 μB/f.u. For the volume, the calculation gives 31.83 Å³ per atom.



(2)
Density functional theory data (PBE) for ZnPb after structural relaxation.

Unit cell a=4.9534 b=4.9534 c=4.9534 alpha=42.23 beta=42.23 gamma=42.23
Atoms (fractional coordinates):
Zn (0.0000, 0.0000, 0.0000)
Pb (0.5000, 0.5000, 0.5000)

Properties
The formation energy from the elements comes out at 0.1744 eV/atom. The total moment is 0.0 μB/f.u. For the volume, the calculation gives 24.85 Å³ per atom.